Crystalline Rb2TlAs at its relaxed geometry, computed with GGA-PBE.

Unit cell a=5.940 b=5.940 c=5.940 alpha=60.00 beta=60.00 gamma=60.00
Sites, in units of the cell vectors:
1 Rb 0.750 0.750 0.750
2 Rb 0.250 0.250 0.250
3 As 0.000 0.000 0.000
4 Tl 0.500 0.500 0.500

Calculated values
The relative energy among the computed polymorphs is 228.9 meV per atom. The symmetry is Fm-3m (225). For the raw total energy, the calculation gives -9.2 eV per cell. The energy of formation is -0.072 eV per atom. For the size of the total moment, the calculation gives 0.0 Bohr magnetons per cell.

Crystalline RbBaTiV2 at its relaxed geometry, computed with GGA-PBE.

Unit cell a=5.515 b=5.415 c=5.515 alpha=90.00 beta=90.00 gamma=90.00
Site moments in Bohr magnetons follow the coordinates.
Sites, in units of the cell vectors:
1 V 0.500 0.000 0.000  2.94
2 V 0.000 0.000 0.500  2.97
3 Ba 0.500 0.500 0.500  -0.01
4 Ti 0.000 0.500 0.000  -1.93
5 Rb 0.000 0.000 0.000  0.04

Calculated values
The symmetry is P4/mmm (123). For the raw total energy, the calculation gives -18.6 eV per cell. The energy of formation is 2.089 eV per atom. For the size of the total moment, the calculation gives 4.7 Bohr magnetons per cell.

Crystalline CrCd2Cl at its relaxed geometry, computed with GGA-PBE.

Unit cell a=5.310 b=5.310 c=3.345 alpha=90.00 beta=90.00 gamma=114.31
Site moments in Bohr magnetons follow the coordinates.
Sites, in units of the cell vectors:
1 Cr 0.000 0.500 0.500  3.94
2 Cd 0.000 0.000 0.000  -0.01
3 Cd 0.500 0.500 0.000  -0.01
4 Cl 0.500 0.000 0.500  0.03

Calculated values
The relative energy among the computed polymorphs is 131.2 meV per atom. The symmetry is Cmmm (65). For the raw total energy, the calculation gives -12.9 eV per cell. For the size of the total moment, the calculation gives 4.5 Bohr magnetons per cell.

Crystalline RbSbPt2Rh at its relaxed geometry, computed with GGA-PBE.

Unit cell a=5.115 b=4.823 c=5.115 alpha=90.00 beta=90.00 gamma=90.00
Sites, in units of the cell vectors:
1 Rh 0.000 0.500 0.000
2 Sb 0.500 0.500 0.500
3 Pt 0.500 0.000 0.000
4 Pt 0.000 0.000 0.500
5 Rb 0.000 0.000 0.000

Calculated values
The symmetry is P4/mmm (123). For the raw total energy, the calculation gives -14.6 eV per cell. For the size of the total moment, the calculation gives 0.0 Bohr magnetons per cell.

Crystalline EuMgCd4 at its relaxed geometry, computed with GGA-PBE.

Unit cell a=5.964 b=5.964 c=5.964 alpha=60.00 beta=60.00 gamma=60.00
Site moments in Bohr magnetons follow the coordinates.
Sites, in units of the cell vectors:
1 Mg 0.250 0.250 0.250  0.00
2 Cd 0.625 0.625 0.625  0.01
3 Cd 0.125 0.625 0.625  0.01
4 Cd 0.625 0.125 0.625  0.01
5 Cd 0.625 0.625 0.125  0.01
6 Eu 0.000 0.000 0.000  6.90

Calculated values
The symmetry is F-43m (216). For the raw total energy, the calculation gives -16.5 eV per cell. The energy of formation is -0.166 eV per atom. For the size of the total moment, the calculation gives 7.3 Bohr magnetons per cell.

Please write out number 3 again, unchanged.
Crystalline CrCd2Cl at its relaxed geometry, computed with GGA-PBE.

Unit cell a=5.310 b=5.310 c=3.345 alpha=90.00 beta=90.00 gamma=114.31
Site moments in Bohr magnetons follow the coordinates.
Sites, in units of the cell vectors:
1 Cr 0.000 0.500 0.500  3.94
2 Cd 0.000 0.000 0.000  -0.01
3 Cd 0.500 0.500 0.000  -0.01
4 Cl 0.500 0.000 0.500  0.03

Calculated values
The relative energy among the computed polymorphs is 131.2 meV per atom. The symmetry is Cmmm (65). For the raw total energy, the calculation gives -12.9 eV per cell. For the size of the total moment, the calculation gives 4.5 Bohr magnetons per cell.